A plane-wave DFT calculation with PBE-GGA was carried out for an optimized crystal structure of CdIn2Fe.

Structure (POSCAR):
```
CdIn2Fe
1.0
-0.779 -3.556 2.429
0.393 -2.518 -3.561
4.168 -0.403 0.745
Cd Fe In
1 1 2
direct
0.500 0.000 0.500
0.000 0.500 0.500
0.000 0.000 0.000
0.500 0.500 0.000
```

Properties
As for the energy of formation from the pure elements: 0.332 eV/atom. For the volume, the calculation gives 20.38 Å³ per atom. The total DFT energy (no corrections) is -13.52 eV per cell.